! Li2Mg2HgPd2 (PBE-GGA, optimized geometry); values from VASP
! - Symmetry: R-3m
! - D(E_F): 2.2 states/eV/f.u.
! - ΔH_f (0 K): -393 meV/atom
! - E: -20.5 eV for the cell shown
&SYSTEM
  ibrav = 0, nat = 7, ntyp = 4
/
ATOMIC_SPECIES
Pd 106.42 Pd.upf
Hg 200.59 Hg.upf
Mg 24.30 Mg.upf
Li 6.94 Li.upf
CELL_PARAMETERS angstrom
-2.445 3.759 -0.217
-2.282 1.404 3.602
3.879 5.386 3.156
ATOMIC_POSITIONS angstrom
Pd 1.670 3.902 2.335
Pd -2.519 6.647 4.206
Hg 0.000 0.000 0.000
Mg -0.380 8.084 5.001
Mg -0.468 2.465 1.540
Li 0.549 5.929 3.632
Li -1.398 4.620 2.909